Record 1
Density functional theory data (PBE) for a geometry-optimized Ba4AlBr structure.

Cell and atoms, written as POSCAR:
```
Ba4AlBr
1.0
-4.604 1.383 5.573
-6.401 3.403 -1.273
-6.324 -3.724 0.560
Ba Al Br
4 1 1
Direct
0.877 0.374 0.374
0.374 0.374 0.877
0.374 0.877 0.374
0.374 0.374 0.374
0.000 0.000 0.000
0.750 0.750 0.750
```

SG: F-43m, No. 216

Record 2
Density functional theory data (PBE) for a geometry-optimized YVFe structure.

Cell and atoms, written as POSCAR:
```
YVFe
1.0
4.767 0.407 0.000
-1.925 4.380 0.000
-1.421 -2.394 4.863
Y V Fe
2 2 2
Direct
0.688 0.312 0.000
0.312 0.688 0.000
0.805 0.805 0.610
0.195 0.195 0.390
0.750 0.250 0.500
0.250 0.750 0.500
```

SG: Fmmm, No. 69
formation enthalpy at 0 K: 0.26 eV per atom

Record 3
Density functional theory data (PBE) for a geometry-optimized ZrRuI2N structure.

Cell and atoms, written as POSCAR:
```
ZrRuI2N
1.0
-4.986 -1.835 -2.600
3.181 -2.713 -4.185
0.071 -3.311 2.200
I Ru Zr N
2 1 1 1
Direct
0.000 0.500 0.000
0.500 0.000 0.000
0.500 0.500 0.500
0.000 0.000 0.000
0.000 0.000 0.500
```

E above lowest polymorph: 2.76 kcal/mol of atoms
SG: P4/mmm, No. 123

Record 4
Density functional theory data (PBE) for a geometry-optimized Ca7Be6 structure.

Cell and atoms, written as POSCAR:
```
Ca7Be6
1.0
-2.241 7.853 -3.276
-5.483 2.044 -6.572
-7.722 4.215 0.166
Be Ca
6 7
Direct
0.952 0.952 0.952
0.048 0.048 0.048
0.857 0.857 0.857
0.143 0.143 0.143
0.645 0.645 0.645
0.355 0.355 0.355
0.962 0.403 0.403
0.403 0.403 0.962
0.403 0.962 0.403
0.038 0.597 0.597
0.597 0.038 0.597
0.597 0.597 0.038
0.500 0.500 0.500
```

SG: R-3m, No. 166
formation enthalpy at 0 K: 0.87 eV per atom

Record 5
Density functional theory data (PBE) for a geometry-optimized Nb2CrFe structure.

Cell and atoms, written as POSCAR:
```
Nb2CrFe
1.0
3.004 0.000 0.000
1.502 2.602 0.000
1.502 0.867 7.867
Cr Nb Fe
1 2 1
Direct
0.000 0.000 0.000
0.250 0.250 0.249
0.750 0.750 0.751
0.500 0.500 0.500
```

SG: R-3m, No. 166
formation enthalpy at 0 K: 0.34 eV per atom

Record 6
Density functional theory data (PBE) for a geometry-optimized Y2Ho9Er structure.

Cell and atoms, written as POSCAR:
```
Y2Ho9Er
1.0
-3.506 -3.062 -1.811
0.310 -2.797 4.127
-10.633 8.355 6.462
Y Ho Er
2 9 1
Direct
0.000 0.000 0.333
0.000 0.000 0.667
0.500 0.500 0.000
0.500 0.500 0.333
0.500 0.500 0.667
0.500 0.000 0.165
0.500 0.000 0.500
0.500 0.000 0.835
0.000 0.500 0.165
0.000 0.500 0.500
0.000 0.500 0.835
0.000 0.000 0.000
```

E above lowest polymorph: 0.00 kcal/mol of atoms
SG: P4/mmm, No. 123
formation enthalpy at 0 K: 0.02 eV per atom

N(E_F) for every record listed, in sequence, given in states/eV/cell: 9.46, 5.74, 2.66, 11.69, 4.42, 18.02.
Magnetic moment for every record listed, in sequence, given in μB/cell: 0.000, 0.022, 2.840, 0.000, 1.133, 0.000.
E for every record listed, in sequence, given in eV/atom: -1.99, -7.76, -5.23, -1.93, -9.21, -4.87.